A plane-wave DFT calculation with PBEsol was carried out for crystalline BaAlHg2S at its relaxed geometry.

```
5
Lattice="5.9599 0.0000 0.0000 0.0000 5.9599 0.0000 0.0000 0.0000 4.4942" Properties=species:S:1:pos:R:3 pbc="T T T"
Ba 0.0000 0.0000 0.0000
Al 2.9800 2.9800 0.0000
Hg 0.0000 2.9800 2.2471
Hg 2.9800 0.0000 2.2471
S 2.9800 2.9800 2.2471
```

Results
DOS at the Fermi energy (states/eV/cell): 2.75
Energy (Ry/atom): -0.173
Magnetic moment (μB per cell): 0.000
Crystal system: tetragonal
V (Å³/atom): 31.9

---

A plane-wave DFT calculation with PBEsol was carried out for crystalline Ba5Ho2ZrAl2O13 at its relaxed geometry.

```
46
Lattice="5.9458 0.0000 0.0000 -2.9729 5.1492 0.0000 0.0000 0.0000 24.9491" Properties=species:S:1:pos:R:3 pbc="T T T"
Ba 0.0000 0.0000 3.4152
Ba 0.0000 0.0000 9.0594
Ba 0.0000 0.0000 15.8897
Ba 0.0000 0.0000 21.5339
Ba 0.0000 3.4328 1.0265
Ba 0.0000 3.4328 11.4480
Ba 0.0000 3.4328 18.7118
Ba 2.9729 1.7164 6.2373
Ba 2.9729 1.7164 13.5011
Ba 2.9729 1.7164 23.9225
Ho 0.0000 3.4328 15.0634
Ho 0.0000 3.4328 22.3602
Ho 2.9729 1.7164 2.5889
Ho 2.9729 1.7164 9.8857
Zr 0.0000 0.0000 0.0000
Zr 0.0000 0.0000 12.4745
Al 0.0000 3.4328 4.5104
Al 0.0000 3.4328 7.9641
Al 2.9729 1.7164 16.9849
Al 2.9729 1.7164 20.4387
O -1.4468 2.5975 3.9415
O -1.4468 2.5975 8.5331
O 0.0000 1.6746 13.7219
O 0.0000 1.6746 23.7017
O -1.5227 4.3119 13.7219
O -1.5227 4.3119 23.7017
O 1.4503 0.8373 1.2473
O 1.4503 0.8373 11.2272
O 0.0000 3.4328 6.2373
O 1.4469 2.5975 3.9415
O 1.4469 2.5975 8.5331
O 0.0000 5.1035 3.9415
O 0.0000 5.1035 8.5331
O 2.9729 0.0457 16.4160
O 2.9729 0.0457 21.0076
O 1.5261 2.5518 16.4160
O 1.5261 2.5518 21.0076
O 2.9729 1.7164 18.7118
O 1.5227 4.3119 13.7219
O 1.5227 4.3119 23.7017
O 4.4956 0.8373 1.2473
O 4.4956 0.8373 11.2272
O 2.9729 3.4746 1.2473
O 2.9729 3.4746 11.2272
O 4.4198 2.5518 16.4160
O 4.4198 2.5518 21.0076
```

Results
DOS at the Fermi energy (states/eV/cell): 0.00
Energy (Ry/atom): -0.570
Magnetic moment (μB per cell): 0.000
Crystal system: hexagonal
V (Å³/atom): 16.6

---

A plane-wave DFT calculation with PBEsol was carried out for crystalline BaAl3I at its relaxed geometry.

```
5
Lattice="5.6651 0.0000 0.0000 0.0000 5.6651 0.0000 0.0000 0.0000 5.6651" Properties=species:S:1:pos:R:3 pbc="T T T"
Ba 0.0000 0.0000 0.0000
Al 0.0000 2.8325 2.8325
Al 2.8325 0.0000 2.8325
Al 2.8325 2.8325 0.0000
I 2.8325 2.8325 2.8325
```

Results
DOS at the Fermi energy (states/eV/cell): 3.92
Energy (Ry/atom): -0.195
Magnetic moment (μB per cell): 0.000
Crystal system: cubic
V (Å³/atom): 36.4

---

A plane-wave DFT calculation with PBEsol was carried out for crystalline BaAlI3 at its relaxed geometry.

```
5
Lattice="6.5743 0.0000 0.0000 0.0000 6.5743 0.0000 0.0000 0.0000 6.5743" Properties=species:S:1:pos:R:3 pbc="T T T"
Ba 0.0000 0.0000 0.0000
Al 3.2872 3.2872 3.2872
I 0.0000 0.0000 3.2872
I 0.0000 3.2872 0.0000
I 3.2872 0.0000 0.0000
```

Results
DOS at the Fermi energy (states/eV/cell): 0.00
Energy (Ry/atom): -0.216
Magnetic moment (μB per cell): 0.000
Crystal system: cubic
V (Å³/atom): 56.8

---

A plane-wave DFT calculation with PBEsol was carried out for crystalline KBaAl2I at its relaxed geometry.

```
5
Lattice="6.2509 0.0000 0.0000 0.0000 6.2509 0.0000 0.0000 0.0000 6.5666" Properties=species:S:1:pos:R:3 pbc="T T T"
K 0.0000 0.0000 0.0000
Ba 3.1254 3.1254 3.2833
Al 0.0000 3.1254 3.2833
Al 3.1254 0.0000 3.2833
I 3.1254 3.1254 0.0000
```

Results
DOS at the Fermi energy (states/eV/cell): 5.90
Energy (Ry/atom): -0.166
Magnetic moment (μB per cell): 1.012
Crystal system: tetragonal
V (Å³/atom): 51.3

---

A plane-wave DFT calculation with PBEsol was carried out for crystalline Ba2AlSnI at its relaxed geometry.

```
5
Lattice="6.3665 0.0000 0.0000 0.0000 6.3665 0.0000 0.0000 0.0000 5.4368" Properties=species:S:1:pos:R:3 pbc="T T T"
Ba 0.0000 3.1832 0.0000
Ba 3.1832 0.0000 0.0000
Al 0.0000 0.0000 0.0000
Sn 3.1832 3.1832 2.7184
I 0.0000 0.0000 2.7184
```

Results
DOS at the Fermi energy (states/eV/cell): 4.90
Energy (Ry/atom): -0.207
Magnetic moment (μB per cell): 1.883
Crystal system: tetragonal
V (Å³/atom): 44.1

---

A plane-wave DFT calculation with PBEsol was carried out for crystalline BaAl2In at its relaxed geometry.

```
4
Lattice="3.6473 0.0000 0.0000 0.0000 3.6473 0.0000 0.0000 0.0000 7.7150" Properties=species:S:1:pos:R:3 pbc="T T T"
Ba 0.0000 0.0000 0.0000
Al 0.0000 0.0000 4.1056
Al 1.8236 1.8236 5.3326
In 1.8236 1.8236 2.4926
```

Results
Formation energy (eV per atom): -0.128
DOS at the Fermi energy (states/eV/cell): 1.31
Magnetic moment (μB per cell): 0.000
Crystal system: tetragonal
V (Å³/atom): 25.7

---

A plane-wave DFT calculation with PBEsol was carried out for crystalline Ba2AlIn at its relaxed geometry.

```
16
Lattice="8.2683 0.0000 0.0000 0.0000 8.2683 0.0000 0.0000 0.0000 8.2683" Properties=species:S:1:pos:R:3 pbc="T T T"
Ba 2.0671 2.0671 2.0671
Ba 2.0671 2.0671 6.2012
Ba 2.0671 6.2012 2.0671
Ba 2.0671 6.2012 6.2012
Ba 6.2012 2.0671 2.0671
Ba 6.2012 2.0671 6.2012
Ba 6.2012 6.2012 2.0671
Ba 6.2012 6.2012 6.2012
Al 0.0000 0.0000 0.0000
Al 0.0000 4.1342 4.1342
Al 4.1342 0.0000 4.1342
Al 4.1342 4.1342 0.0000
In 0.0000 0.0000 4.1342
In 0.0000 4.1342 0.0000
In 4.1342 0.0000 0.0000
In 4.1342 4.1342 4.1342
```

Results
Formation energy (eV per atom): -0.199
DOS at the Fermi energy (states/eV/cell): 13.76
Magnetic moment (μB per cell): 0.002
Polymorph energy (0 for the lowest one) (eV/atom): 0.070
Crystal system: cubic
V (Å³/atom): 35.3